Entry 1:
# PBE Ca3NpPt8, optimized geometry
# ΔE_f in eV/atom: -0.85
# Raw total energy in eV per atom: -6.453
# Total magnetization in μB/cell: 3.73
# Volume in Å³ per cell: 229
data_Ca3NpPt8
_chemical_formula_sum 'Ca3 Np1 Pt8'
_cell_length_a 5.4549
_cell_length_b 5.4549
_cell_length_c 9.4254
_cell_angle_alpha 73.18
_cell_angle_beta 73.18
_cell_angle_gamma 60.00
_space_group_name_H-M_alt 'P 1'
_space_group_IT_number 1
loop_
_space_group_symop_operation_xyz
'x,y,z'
loop_
_atom_site_label
_atom_site_type_symbol
_atom_site_fract_x
_atom_site_fract_y
_atom_site_fract_z
Ca1 Ca 0.3741 0.3741 0.8777
Ca2 Ca 0.4978 0.4978 0.5067
Ca3 Ca 0.0023 0.0023 0.9932
Pt1 Pt 0.4375 0.4375 0.1907
Pt2 Pt 0.6876 0.6876 0.9371
Pt3 Pt 0.1873 0.1873 0.4380
Pt4 Pt 0.9375 0.4404 0.6845
Pt5 Pt 0.4375 0.9342 0.1907
Pt6 Pt 0.9342 0.4375 0.1907
Pt7 Pt 0.9375 0.9375 0.6845
Pt8 Pt 0.4404 0.9375 0.6845
Np1 Np 0.8762 0.8762 0.3715

=====

Entry 2:
# PBE Ca2NpPt4, optimized geometry
# ΔE_f in eV/atom: -0.52
# Raw total energy in eV per atom: -6.393
# Total magnetization in μB/cell: 3.20
# Volume in Å³ per cell: 152
data_Ca2NpPt4
_chemical_formula_sum 'Ca2 Np1 Pt4'
_cell_length_a 4.5361
_cell_length_b 4.5361
_cell_length_c 8.0405
_cell_angle_alpha 106.38
_cell_angle_beta 106.38
_cell_angle_gamma 90.00
_space_group_name_H-M_alt 'P 1'
_space_group_IT_number 1
loop_
_space_group_symop_operation_xyz
'x,y,z'
loop_
_atom_site_label
_atom_site_type_symbol
_atom_site_fract_x
_atom_site_fract_y
_atom_site_fract_z
Pt1 Pt 0.1131 0.6131 0.2262
Pt2 Pt 0.3869 0.8869 0.7738
Pt3 Pt 0.8869 0.3869 0.7738
Pt4 Pt 0.6131 0.1131 0.2262
Ca1 Ca 0.2590 0.2590 0.5180
Ca2 Ca 0.7410 0.7410 0.4820
Np1 Np 0.0000 0.0000 0.0000

=====

Entry 3:
# PBE Ca2NpSi4Pt3, optimized geometry
# Raw total energy in eV per atom: -6.325
# Raw formation energy in eV per atom: -0.649
# Total magnetization in μB/cell: 3.53
# Volume in Å³ per cell: 196
data_Ca2NpSi4Pt3
_chemical_formula_sum 'Ca2 Np1 Si4 Pt3'
_cell_length_a 4.1879
_cell_length_b 4.1879
_cell_length_c 11.1848
_cell_angle_alpha 90.00
_cell_angle_beta 90.00
_cell_angle_gamma 90.00
_space_group_name_H-M_alt 'P 1'
_space_group_IT_number 1
loop_
_space_group_symop_operation_xyz
'x,y,z'
loop_
_atom_site_label
_atom_site_type_symbol
_atom_site_fract_x
_atom_site_fract_y
_atom_site_fract_z
Si1 Si 0.5000 0.5000 0.0000
Si2 Si 0.0000 0.5000 0.3288
Si3 Si 0.5000 0.0000 0.6712
Si4 Si 0.0000 0.0000 0.0000
Np1 Np 0.5000 0.5000 0.5000
Pt1 Pt 0.5000 0.0000 0.8872
Pt2 Pt 0.0000 0.5000 0.1128
Pt3 Pt 0.0000 0.0000 0.5000
Ca1 Ca 0.0000 0.5000 0.7681
Ca2 Ca 0.5000 0.0000 0.2319

=====

Entry 4:
# PBE CaPu2NpSb4, optimized geometry
# Raw total energy in eV per atom: -8.043
# Raw formation energy in eV per atom: -0.531
# Total magnetization in μB/cell: 3.92
# Volume in Å³ per cell: 248
data_CaPu2NpSb4
_chemical_formula_sum 'Ca1 Pu2 Np1 Sb4'
_cell_length_a 4.4566
_cell_length_b 7.6801
_cell_length_c 7.6851
_cell_angle_alpha 109.39
_cell_angle_beta 90.00
_cell_angle_gamma 90.00
_space_group_name_H-M_alt 'P 1'
_space_group_IT_number 1
loop_
_space_group_symop_operation_xyz
'x,y,z'
loop_
_atom_site_label
_atom_site_type_symbol
_atom_site_fract_x
_atom_site_fract_y
_atom_site_fract_z
Sb1 Sb 0.0000 0.7596 0.2556
Sb2 Sb 0.0000 0.2404 0.7444
Sb3 Sb 0.5000 0.7545 0.7493
Sb4 Sb 0.5000 0.2455 0.2507
Ca1 Ca 0.5000 0.5000 0.0000
Np1 Np 0.0000 0.0000 0.0000
Pu1 Pu 0.5000 0.0000 0.5000
Pu2 Pu 0.0000 0.5000 0.5000

=====

Entry 5:
# PBE Ca2PuNpSb4, optimized geometry
# Raw total energy in eV per atom: -6.586
# Raw formation energy in eV per atom: -0.615
# Total magnetization in μB/cell: 7.45
# Volume in Å³ per cell: 253
data_Ca2PuNpSb4
_chemical_formula_sum 'Ca2 Pu1 Np1 Sb4'
_cell_length_a 4.4911
_cell_length_b 7.7861
_cell_length_c 7.6847
_cell_angle_alpha 109.73
_cell_angle_beta 90.00
_cell_angle_gamma 90.00
_space_group_name_H-M_alt 'P 1'
_space_group_IT_number 1
loop_
_space_group_symop_operation_xyz
'x,y,z'
loop_
_atom_site_label
_atom_site_type_symbol
_atom_site_fract_x
_atom_site_fract_y
_atom_site_fract_z
Ca1 Ca 0.5000 0.0000 0.5000
Ca2 Ca 0.0000 0.5000 0.5000
Sb1 Sb 0.0000 0.2526 0.7664
Sb2 Sb 0.5000 0.7584 0.7672
Sb3 Sb 0.0000 0.7474 0.2336
Sb4 Sb 0.5000 0.2416 0.2328
Pu1 Pu 0.5000 0.5000 0.0000
Np1 Np 0.0000 0.0000 0.0000

=====

Entry 6:
# PBE Rb2CaNpS4, optimized geometry
# Raw total energy in eV per atom: -5.691
# Raw formation energy in eV per atom: -1.518
# Total magnetization in μB/cell: 3.00
# Volume in Å³ per cell: 227
data_Rb2CaNpS4
_chemical_formula_sum 'Rb2 Ca1 Np1 S4'
_cell_length_a 4.1576
_cell_length_b 7.9985
_cell_length_c 7.1482
_cell_angle_alpha 72.72
_cell_angle_beta 90.00
_cell_angle_gamma 90.00
_space_group_name_H-M_alt 'P 1'
_space_group_IT_number 1
loop_
_space_group_symop_operation_xyz
'x,y,z'
loop_
_atom_site_label
_atom_site_type_symbol
_atom_site_fract_x
_atom_site_fract_y
_atom_site_fract_z
Rb1 Rb 0.0000 0.0000 0.0000
Rb2 Rb 0.5000 0.0000 0.5000
S1 S 0.5000 0.6897 0.2842
S2 S 0.5000 0.3103 0.7158
S3 S 0.0000 0.6910 0.7508
S4 S 0.0000 0.3090 0.2492
Ca1 Ca 0.5000 0.5000 0.0000
Np1 Np 0.0000 0.5000 0.5000

=====

Entry 7:
# PBE Rb3Ca2NpS6, optimized geometry
# Raw total energy in eV per atom: -5.262
# Raw formation energy in eV per atom: -1.545
# Total magnetization in μB/cell: 2.00
# Volume in Å³ per cell: 339
data_Rb3Ca2NpS6
_chemical_formula_sum 'Rb3 Ca2 Np1 S6'
_cell_length_a 7.1594
_cell_length_b 7.1594
_cell_length_c 7.9979
_cell_angle_alpha 98.58
_cell_angle_beta 98.58
_cell_angle_gamma 119.98
_space_group_name_H-M_alt 'P 1'
_space_group_IT_number 1
loop_
_space_group_symop_operation_xyz
'x,y,z'
loop_
_atom_site_label
_atom_site_type_symbol
_atom_site_fract_x
_atom_site_fract_y
_atom_site_fract_z
Ca1 Ca 0.3337 0.6663 0.0000
Ca2 Ca 0.6663 0.3337 0.0000
S1 S 0.2437 0.2437 0.8073
S2 S 0.0638 0.3729 0.1912
S3 S 0.3729 0.0638 0.1912
S4 S 0.7563 0.7563 0.1927
S5 S 0.9362 0.6271 0.8088
S6 S 0.6271 0.9362 0.8088
Np1 Np 0.0000 0.0000 0.0000
Rb1 Rb 0.8278 0.1722 0.5000
Rb2 Rb 0.1722 0.8278 0.5000
Rb3 Rb 0.5000 0.5000 0.5000

=====

Entry 8:
# PBE Rb3CaNp3S8, optimized geometry
# Raw total energy in eV per atom: -6.358
# Raw formation energy in eV per atom: -1.242
# Total magnetization in μB/cell: 3.33
# Volume in Å³ per cell: 390
data_Rb3CaNp3S8
_chemical_formula_sum 'Rb3 Ca1 Np3 S8'
_cell_length_a 9.8753
_cell_length_b 7.0097
_cell_length_c 12.7098
_cell_angle_alpha 123.49
_cell_angle_beta 89.66
_cell_angle_gamma 135.22
_space_group_name_H-M_alt 'P 1'
_space_group_IT_number 1
loop_
_space_group_symop_operation_xyz
'x,y,z'
loop_
_atom_site_label
_atom_site_type_symbol
_atom_site_fract_x
_atom_site_fract_y
_atom_site_fract_z
Rb1 Rb 0.5000 0.5000 0.0000
Rb2 Rb 0.0000 0.5000 0.0000
Rb3 Rb 0.0000 0.0000 0.0000
S1 S 0.5514 0.1026 0.3087
S2 S 0.0658 0.6170 0.3087
S3 S 0.0657 0.1317 0.3087
S4 S 0.9343 0.8683 0.6913
S5 S 0.4486 0.8974 0.6913
S6 S 0.9342 0.3830 0.6913
S7 S 0.5514 0.6174 0.3087
S8 S 0.4486 0.3826 0.6913
Np1 Np 0.5000 0.0000 0.5000
Np2 Np 0.5000 0.5000 0.5000
Np3 Np 0.0000 0.5000 0.5000
Ca1 Ca 0.0000 0.0000 0.5000